# 1
! MnNb2Os2 PBE optimized geometry; values from VASP
! - ΔE_f: 0.3498 eV/atom
! - Density: 12.5 g/cm3
! - Space group: P4/mbm, No. 127
&SYSTEM
  ibrav = 0, nat = 10, ntyp = 3
/
ATOMIC_SPECIES
Mn 54.94 Mn.upf
Nb 92.91 Nb.upf
Os 190.23 Os.upf
CELL_PARAMETERS angstrom
7.284 0.000 0.000
0.000 7.284 0.000
0.000 0.000 3.108
ATOMIC_POSITIONS angstrom
Mn 0.000 0.000 0.000
Mn 3.642 3.642 0.000
Nb 1.219 2.423 1.554
Nb 2.423 6.065 1.554
Nb 4.861 1.219 1.554
Nb 6.065 4.861 1.554
Os 0.984 4.626 0.000
Os 2.658 0.984 0.000
Os 4.626 6.300 0.000
Os 6.300 2.658 0.000

# 2
! Th2CF PBE optimized geometry; values from VASP
! - E_form (uncorrected): -5.3 eV/f.u.
! - E above lowest polymorph: 0.102 eV per atom
! - Density: 10.7 g/cm3
! - Space group: R3m, No. 160
&SYSTEM
  ibrav = 0, nat = 12, ntyp = 3
/
ATOMIC_SPECIES
Th 232.04 Th.upf
C 12.01 C.upf
F 19.00 F.upf
CELL_PARAMETERS angstrom
3.641 0.000 0.000
-1.820 3.153 0.000
0.000 0.000 20.080
ATOMIC_POSITIONS angstrom
Th 0.000 0.000 0.000
Th 0.000 0.000 3.827
Th 0.000 2.102 13.387
Th 0.000 2.102 17.214
Th 1.820 1.051 6.693
Th 1.820 1.051 10.521
C 0.000 0.000 11.973
C 0.000 2.102 5.280
C 1.820 1.051 18.666
F 0.000 0.000 15.371
F 0.000 2.102 8.678
F 1.820 1.051 1.985

# 3
! FeAsPb2 PBE optimized geometry; values from VASP
! - ΔE_f: 0.2729 eV/atom
! - Density: 9.3 g/cm3
! - Space group: Imm2, No. 44
&SYSTEM
  ibrav = 0, nat = 8, ntyp = 3
/
ATOMIC_SPECIES
Fe 55.84 Fe.upf
As 74.92 As.upf
Pb 207.20 Pb.upf
CELL_PARAMETERS angstrom
3.432 0.000 0.000
0.000 4.166 0.000
0.000 0.000 13.638
ATOMIC_POSITIONS angstrom
Fe 0.000 0.000 0.000
Fe 1.716 2.083 6.819
As 0.000 2.083 5.172
As 1.716 0.000 11.991
Pb 0.000 0.000 7.784
Pb 0.000 2.083 10.460
Pb 1.716 0.000 3.641
Pb 1.716 2.083 0.965

# 4
! LaAs2H PBE optimized geometry; values from VASP
! - E above lowest polymorph: 0.370 eV per atom
! - Density: 5.6 g/cm3
! - Space group: Fm-3m, No. 225
&SYSTEM
  ibrav = 0, nat = 16, ntyp = 3
/
ATOMIC_SPECIES
La 138.91 La.upf
As 74.92 As.upf
H 1.01 H.upf
CELL_PARAMETERS angstrom
7.007 0.000 0.000
0.000 7.007 0.000
0.000 0.000 7.007
ATOMIC_POSITIONS angstrom
La 0.000 0.000 0.000
La 0.000 3.504 3.504
La 3.504 0.000 3.504
La 3.504 3.504 0.000
As 1.752 1.752 1.752
As 1.752 1.752 5.255
As 1.752 5.255 1.752
As 1.752 5.255 5.255
As 5.255 1.752 1.752
As 5.255 1.752 5.255
As 5.255 5.255 1.752
As 5.255 5.255 5.255
H 0.000 0.000 3.504
H 0.000 3.504 0.000
H 3.504 0.000 0.000
H 3.504 3.504 3.504